1.
An optimized crystal structure of Y2SnH3, computed with GGA-PBE.

## Properties
space-group type: C2/m
crystal system: monoclinic
total DFT energy (no corrections): -5.17 eV/atom
calculated density: 5.33 g/cm3

Unit cell a=3.666 b=7.466 c=7.604 alpha=111.52 beta=90.00 gamma=104.21
Fractional positions:
1 H 0.065 0.129 0.410
2 Sn 0.139 0.279 0.034
3 Y 0.806 0.611 0.338
4 H 0.310 0.619 0.532
5 H 0.935 0.871 0.590
6 Y 0.194 0.389 0.662
7 Y 0.471 0.943 0.730
8 H 0.690 0.381 0.468
9 Sn 0.861 0.721 0.966
10 Y 0.529 0.057 0.270
11 H 0.591 0.182 0.612
12 H 0.409 0.818 0.388


2.
An optimized crystal structure of YSnH, computed with GGA-PBE.

## Properties
energy relative to the lowest polymorph listed for this composition: 2.7 kJ/mol of atoms
space-group type: C2/m
crystal system: monoclinic
calculated density: 5.82 g/cm3

Unit cell a=3.632 b=6.291 c=6.334 alpha=60.70 beta=73.34 gamma=73.22
Fractional positions:
1 Y 0.293 0.680 0.735
2 H 0.713 0.650 0.923
3 Y 0.707 0.320 0.265
4 Sn 0.019 0.214 0.748
5 Sn 0.981 0.786 0.252
6 H 0.287 0.350 0.077


3.
An optimized crystal structure of YSn3H, computed with GGA-PBE.

## Properties
energy relative to the lowest polymorph listed for this composition: 105.1 kJ/mol of atoms
space-group type: Pm-3m
crystal system: cubic
calculated density: 3.67 g/cm3

Unit cell a=5.864 b=5.864 c=5.864 alpha=90.00 beta=90.00 gamma=90.00
Fractional positions:
1 Sn 0.000 0.000 0.500
2 Sn 0.000 0.500 0.000
3 H 0.500 0.500 0.500
4 Y 0.000 0.000 0.000
5 Sn 0.500 0.000 0.000


4.
An optimized crystal structure of Y3SnH3, computed with GGA-PBE.

## Properties
space-group type: R-3
crystal system: trigonal
total DFT energy (no corrections): -5.35 eV/atom
calculated density: 4.81 g/cm3

Unit cell a=6.515 b=6.515 c=8.215 alpha=66.64 beta=66.64 gamma=60.00
Fractional positions:
1 Sn 0.333 0.333 0.000
2 H 0.207 0.869 0.388
3 Y 0.559 0.898 0.309
4 H 0.463 0.793 0.612
5 Y 0.102 0.766 0.691
6 Y 0.766 0.441 0.691
7 Y 0.898 0.234 0.309
8 H 0.131 0.463 0.612
9 Y 0.234 0.559 0.309
10 H 0.793 0.131 0.612
11 H 0.537 0.207 0.388
12 Sn 0.667 0.667 0.000
13 H 0.869 0.537 0.388
14 Y 0.441 0.102 0.691


5.
An optimized crystal structure of Y4SnH, computed with GGA-PBE.

## Properties
space-group type: C2/m
crystal system: monoclinic
total DFT energy (no corrections): -5.87 eV/atom
calculated density: 5.32 g/cm3

Unit cell a=5.652 b=6.644 c=9.030 alpha=111.58 beta=108.48 gamma=90.00
Fractional positions:
1 Y 0.000 0.256 0.000
2 Y 0.189 0.701 0.402
3 Y 0.389 0.135 0.772
4 Sn 0.810 0.813 0.626
5 H 0.701 0.414 0.828
6 Y 0.000 0.744 0.000
7 Y 0.611 0.865 0.228
8 Y 0.811 0.299 0.598
9 Y 0.611 0.363 0.228
10 Sn 0.190 0.187 0.374
11 Y 0.389 0.637 0.772
12 H 0.299 0.586 0.172


6.
An optimized crystal structure of YSn2H, computed with GGA-PBE.

## Properties
energy relative to the lowest polymorph listed for this composition: 18.5 kJ/mol of atoms
space-group type: Fm-3m
crystal system: cubic
calculated density: 5.77 g/cm3

Unit cell a=5.107 b=5.107 c=5.107 alpha=60.00 beta=60.00 gamma=60.00
Fractional positions:
1 H 0.000 0.000 0.000
2 Sn 0.750 0.750 0.750
3 Sn 0.250 0.250 0.250
4 Y 0.500 0.500 0.500


7.
An optimized crystal structure of YSnH, computed with GGA-PBE.

## Properties
energy relative to the lowest polymorph listed for this composition: 27.5 kJ/mol of atoms
space-group type: I4mm
crystal system: tetragonal
calculated density: 5.84 g/cm3

Unit cell a=3.235 b=3.235 c=6.112 alpha=105.34 beta=105.34 gamma=90.00
Fractional positions:
1 Y 0.725 0.725 0.450
2 Sn 0.006 0.006 0.012
3 H 0.269 0.269 0.538


8.
An optimized crystal structure of YSnH, computed with GGA-PBE.

## Properties
energy relative to the lowest polymorph listed for this composition: 0.0 kJ/mol of atoms
space-group type: P3m1
crystal system: trigonal
calculated density: 5.93 g/cm3

Unit cell a=5.102 b=3.636 c=3.636 alpha=120.00 beta=90.00 gamma=90.00
Fractional positions:
1 Y 0.167 0.000 0.000
2 Sn 0.667 0.667 0.333
3 H 0.166 0.333 0.667


9.
An optimized crystal structure of Y2Sn2H, computed with GGA-PBE.

## Properties
energy relative to the lowest polymorph listed for this composition: 0.0 kJ/mol of atoms
space-group type: C2/m
crystal system: monoclinic
calculated density: 6.01 g/cm3

Unit cell a=6.167 b=6.164 c=6.982 alpha=103.46 beta=116.21 gamma=90.00
Fractional positions:
1 Sn 0.833 0.688 0.665
2 H 0.762 0.500 0.000
3 Sn 0.657 0.906 0.314
4 Y 0.907 0.223 0.814
5 Y 0.093 0.777 0.186
6 Sn 0.343 0.094 0.686
7 Y 0.404 0.649 0.808
8 Sn 0.167 0.312 0.335
9 H 0.238 0.500 0.000
10 Y 0.596 0.351 0.192


10.
An optimized crystal structure of Y2Sn2H, computed with GGA-PBE.

## Properties
energy relative to the lowest polymorph listed for this composition: 9.5 kJ/mol of atoms
space-group type: P4/mbm
crystal system: tetragonal
calculated density: 5.86 g/cm3

Unit cell a=6.848 b=6.848 c=5.028 alpha=90.00 beta=90.00 gamma=90.00
Fractional positions:
1 Sn 0.153 0.653 0.500
2 Y 0.670 0.170 0.000
3 H 0.000 0.000 0.000
4 Y 0.170 0.330 0.000
5 Sn 0.847 0.347 0.500
6 Y 0.330 0.830 0.000
7 Y 0.830 0.670 0.000
8 Sn 0.347 0.153 0.500
9 H 0.500 0.500 0.000
10 Sn 0.653 0.847 0.500


11.
An optimized crystal structure of YSnH3, computed with GGA-PBE.

## Properties
energy relative to the lowest polymorph listed for this composition: 39.5 kJ/mol of atoms
space-group type: Pm-3m
crystal system: cubic
calculated density: 5.21 g/cm3

Unit cell a=4.064 b=4.064 c=4.064 alpha=90.00 beta=90.00 gamma=90.00
Fractional positions:
1 H 0.000 0.500 0.000
2 Y 0.500 0.500 0.500
3 Sn 0.000 0.000 0.000
4 H 0.500 0.000 0.000
5 H 0.000 0.000 0.500


12.
An optimized crystal structure of Y4Sn3H, computed with GGA-PBE.

## Properties
space-group type: Pmn2_1
crystal system: orthorhombic
total DFT energy (no corrections): -5.62 eV/atom
calculated density: 5.17 g/cm3

Unit cell a=6.132 b=6.127 c=12.186 alpha=90.00 beta=90.00 gamma=90.00
Fractional positions:
1 Sn 0.569 0.252 0.750
2 Sn 0.069 0.748 0.750
3 Y 0.132 0.734 0.500
4 Y 0.632 0.266 0.000
5 H 0.492 0.815 0.500
6 Sn 0.069 0.748 0.250
7 Y 0.070 0.249 0.251
8 H 0.992 0.185 0.000
9 Sn 0.569 0.252 0.250
10 Y 0.057 0.821 0.000
11 Sn 0.055 0.234 0.500
12 Y 0.570 0.751 0.249
13 Y 0.070 0.249 0.749
14 Y 0.570 0.751 0.751
15 Sn 0.555 0.766 0.000
16 Y 0.557 0.179 0.500


no.,total moment (μB/f.u.)
1,0.00
2,0.00
3,0.99
4,0.00
5,1.46
6,0.24
7,0.37
8,0.00
9,0.00
10,0.00
11,0.00
12,0.00